# 1
Computed, not measured: a relaxed structure of Lu2As2O5 at the GGA-PBE level of DFT.

Unit cell a=3.688 b=3.688 c=9.018 alpha=90.00 beta=90.00 gamma=90.00
Space group P4/mmm (No. 123)
Asymmetric unit:
Lu 0.000 0.000 0.246 x2
As 0.500 0.500 0.000 x1
As 0.500 0.500 0.500 x1
O 0.000 0.000 0.000 x1
O 0.000 0.500 0.361 x4

Summary:
Energy above the most stable polymorph in this dataset = 0.000 eV per atom
Uncorrected energy = -0.245 Ha/atom
Magnetic moment = 0.00 μB/f.u.

# 2
Computed, not measured: a relaxed structure of CdAg2P2S6 at the GGA-PBE level of DFT.

Unit cell a=6.461 b=11.158 c=13.808 alpha=90.00 beta=98.15 gamma=90.00
Space group C2/c (No. 15)
Asymmetric unit:
Cd 0.000 0.075 0.250 x4
Ag 0.042 0.412 0.363 x8
P 0.030 0.256 0.834 x8
S 0.069 0.095 0.619 x8
S 0.137 0.394 0.618 x8
S 0.156 0.223 0.123 x8

Summary:
Uncorrected energy = -0.152 Ha/atom

# 3
Computed, not measured: a relaxed structure of ZnS at the GGA-PBE level of DFT.

Unit cell a=3.8360 b=3.8360 c=68.9503 alpha=90.00 beta=90.00 gamma=120.00
Space group P3m1 (No. 156)
Asymmetric unit:
Zn 0.0000 0.0000 0.0000 x1
Zn 0.0000 0.0000 0.1364 x1
Zn 0.0000 0.0000 0.2728 x1
Zn 0.0000 0.0000 0.4091 x1
Zn 0.0000 0.0000 0.5000 x1
Zn 0.0000 0.0000 0.5910 x1
Zn 0.0000 0.0000 0.7273 x1
Zn 0.0000 0.0000 0.8637 x1
Zn 0.3333 0.6667 0.0455 x1
Zn 0.3333 0.6667 0.1819 x1
Zn 0.3333 0.6667 0.3182 x1
Zn 0.3333 0.6667 0.4546 x1
Zn 0.3333 0.6667 0.6364 x1
Zn 0.3333 0.6667 0.7728 x1
Zn 0.3333 0.6667 0.9091 x1
Zn 0.6667 0.3333 0.0910 x1
Zn 0.6667 0.3333 0.2273 x1
Zn 0.6667 0.3333 0.3637 x1
Zn 0.6667 0.3333 0.5455 x1
Zn 0.6667 0.3333 0.6819 x1
Zn 0.6667 0.3333 0.8182 x1
Zn 0.6667 0.3333 0.9546 x1
S 0.0000 0.0000 0.0341 x1
S 0.0000 0.0000 0.1705 x1
S 0.0000 0.0000 0.3069 x1
S 0.0000 0.0000 0.4432 x1
S 0.0000 0.0000 0.5341 x1
S 0.0000 0.0000 0.6250 x1
S 0.0000 0.0000 0.7614 x1
S 0.0000 0.0000 0.8977 x1
S 0.3333 0.6667 0.0796 x1
S 0.3333 0.6667 0.2160 x1
S 0.3333 0.6667 0.3523 x1
S 0.3333 0.6667 0.4887 x1
S 0.3333 0.6667 0.6705 x1
S 0.3333 0.6667 0.8069 x1
S 0.3333 0.6667 0.9432 x1
S 0.6667 0.3333 0.1250 x1
S 0.6667 0.3333 0.2614 x1
S 0.6667 0.3333 0.3978 x1
S 0.6667 0.3333 0.5796 x1
S 0.6667 0.3333 0.7160 x1
S 0.6667 0.3333 0.8523 x1
S 0.6667 0.3333 0.9887 x1

Summary:
Uncorrected energy = -0.129 Ha/atom

# 4
Computed, not measured: a relaxed structure of GdTlIn at the GGA-PBE level of DFT.

Unit cell a=7.214 b=7.214 c=7.214 alpha=90.00 beta=90.00 gamma=90.00
Space group F-43m (No. 216)
Asymmetric unit:
Gd 0.000 0.000 0.000 x4
Tl 0.250 0.250 0.250 x4
In 0.250 0.250 0.750 x4

Summary:
Energy above the most stable polymorph in this dataset = 0.094 eV per atom
Uncorrected energy = -0.121 Ha/atom
Magnetic moment = 0.01 μB/f.u.